1.
A relaxed Ce4Ni3Sb8 crystal. Source: Alexandria, functional PBE.

Values from the calculation:
Calculated volume: 24.1 A^3/atom
ΔE_f (raw): -756 meV/atom
Crystal system: tetragonal
Total magnetization: 0.0 μB/f.u.
DOS(E_F): 12.24 states/eV/f.u.

abc: 4.391 4.391 18.742
angles: 90.00 90.00 90.00
Sites, in units of the cell vectors:
Ce1 0.000 0.500 0.112
Ce2 0.000 0.500 0.619
Ce3 0.500 0.000 0.381
Ce4 0.500 0.000 0.888
Ni1 0.000 0.000 0.000
Ni2 0.000 0.000 0.500
Ni3 0.500 0.500 0.500
Sb1 0.000 0.000 0.247
Sb2 0.000 0.000 0.753
Sb3 0.000 0.500 0.427
Sb4 0.000 0.500 0.930
Sb5 0.500 0.000 0.070
Sb6 0.500 0.000 0.573
Sb7 0.500 0.500 0.247
Sb8 0.500 0.500 0.753

***

2.
A relaxed CeNiSb2 crystal. Source: Alexandria, functional PBE.

Values from the calculation:
Calculated volume: 24.0 A^3/atom
ΔE_f (raw): -559 meV/atom
Crystal system: monoclinic
Total magnetization: 0.9 μB/f.u.
DOS(E_F): 6.75 states/eV/f.u.

abc: 7.672 6.428 7.801
angles: 90.00 90.49 90.00
Sites, in units of the cell vectors:
Ce1 0.173 0.129 0.330
Ce2 0.173 0.371 0.830
Ce3 0.827 0.629 0.170
Ce4 0.827 0.871 0.670
Ni1 0.324 0.654 0.157
Ni2 0.324 0.846 0.657
Ni3 0.676 0.154 0.343
Ni4 0.676 0.346 0.843
Sb1 0.147 0.633 0.444
Sb2 0.147 0.867 0.944
Sb3 0.478 0.193 0.613
Sb4 0.478 0.307 0.113
Sb5 0.522 0.693 0.887
Sb6 0.522 0.807 0.387
Sb7 0.853 0.133 0.056
Sb8 0.853 0.367 0.556

***

3.
A relaxed CeNi2Sb crystal. Source: Alexandria, functional PBE.

Values from the calculation:
Calculated volume: 20.0 A^3/atom
ΔE_f (raw): -405 meV/atom
Crystal system: orthorhombic
Total magnetization: 0.9 μB/f.u.
DOS(E_F): 6.97 states/eV/f.u.

abc: 4.316 11.284 6.557
angles: 90.00 90.00 90.00
Sites, in units of the cell vectors:
Ce1 0.000 0.079 0.250
Ce2 0.000 0.921 0.750
Ce3 0.500 0.421 0.750
Ce4 0.500 0.579 0.250
Ni1 0.000 0.215 0.563
Ni2 0.000 0.215 0.937
Ni3 0.000 0.785 0.063
Ni4 0.000 0.785 0.437
Ni5 0.500 0.285 0.063
Ni6 0.500 0.285 0.437
Ni7 0.500 0.715 0.563
Ni8 0.500 0.715 0.937
Sb1 0.000 0.370 0.250
Sb2 0.000 0.630 0.750
Sb3 0.500 0.130 0.750
Sb4 0.500 0.870 0.250

***

4.
A relaxed CeNi5Sb crystal. Source: Alexandria, functional PBE.

Values from the calculation:
Calculated volume: 14.6 A^3/atom
ΔE_f (raw): -383 meV/atom
Crystal system: orthorhombic
Total magnetization: 0.0 μB/f.u.
DOS(E_F): 7.69 states/eV/f.u.

abc: 8.061 4.957 10.219
angles: 90.00 90.00 90.00
Sites, in units of the cell vectors:
Ce1 0.246 0.250 0.055
Ce2 0.254 0.750 0.555
Ce3 0.746 0.250 0.445
Ce4 0.754 0.750 0.945
Ni1 0.073 0.250 0.598
Ni2 0.073 0.501 0.810
Ni3 0.073 0.999 0.810
Ni4 0.085 0.750 0.020
Ni5 0.174 0.750 0.253
Ni6 0.326 0.250 0.753
Ni7 0.415 0.250 0.520
Ni8 0.427 0.001 0.310
Ni9 0.427 0.499 0.310
Ni10 0.427 0.750 0.098
Ni11 0.573 0.250 0.902
Ni12 0.573 0.501 0.690
Ni13 0.573 0.999 0.690
Ni14 0.585 0.750 0.480
Ni15 0.674 0.750 0.247
Ni16 0.826 0.250 0.747
Ni17 0.915 0.250 0.980
Ni18 0.927 0.001 0.190
Ni19 0.927 0.499 0.190
Ni20 0.927 0.750 0.402
Sb1 0.142 0.250 0.355
Sb2 0.358 0.750 0.855
Sb3 0.642 0.250 0.145
Sb4 0.858 0.750 0.645

***

5.
A relaxed CeNiSb3 crystal. Source: Alexandria, functional PBE.

Values from the calculation:
Calculated volume: 23.7 A^3/atom
ΔE_f (raw): -560 meV/atom
Crystal system: orthorhombic
Total magnetization: 0.5 μB/f.u.
DOS(E_F): 5.47 states/eV/f.u.

abc: 12.620 6.202 6.067
angles: 90.00 90.00 90.00
Sites, in units of the cell vectors:
Ce1 0.197 0.002 0.250
Ce2 0.197 0.498 0.750
Ce3 0.803 0.502 0.250
Ce4 0.803 0.998 0.750
Ni1 0.405 0.750 0.000
Ni2 0.405 0.750 0.500
Ni3 0.595 0.250 0.000
Ni4 0.595 0.250 0.500
Sb1 0.001 0.750 0.000
Sb2 0.001 0.750 0.500
Sb3 0.273 0.507 0.250
Sb4 0.273 0.993 0.750
Sb5 0.446 0.096 0.250
Sb6 0.446 0.404 0.750
Sb7 0.554 0.596 0.250
Sb8 0.554 0.904 0.750
Sb9 0.727 0.007 0.250
Sb10 0.727 0.493 0.750
Sb11 0.999 0.250 0.000
Sb12 0.999 0.250 0.500

***

6.
A relaxed CeNiSb2 crystal. Source: Alexandria, functional PBE.

Values from the calculation:
Calculated volume: 37.8 A^3/atom
ΔE_f (raw): 274 meV/atom
Crystal system: trigonal
Total magnetization: 1.8 μB/f.u.
DOS(E_F): 10.85 states/eV/f.u.

abc: 4.685 4.685 23.883
angles: 90.00 90.00 120.00
Sites, in units of the cell vectors:
Ce1 0.000 0.000 0.000
Ce2 0.333 0.667 0.667
Ce3 0.667 0.333 0.333
Ni1 0.000 0.000 0.500
Ni2 0.333 0.667 0.167
Ni3 0.667 0.333 0.833
Sb1 0.000 0.000 0.399
Sb2 0.000 0.000 0.601
Sb3 0.333 0.667 0.065
Sb4 0.333 0.667 0.268
Sb5 0.667 0.333 0.732
Sb6 0.667 0.333 0.935

***

7.
A relaxed CeNiSb2 crystal. Source: Alexandria, functional PBE.

Values from the calculation:
Calculated volume: 24.1 A^3/atom
ΔE_f (raw): -661 meV/atom
Crystal system: monoclinic
Total magnetization: 0.7 μB/f.u.
DOS(E_F): 5.99 states/eV/f.u.

abc: 11.249 4.312 4.311
angles: 90.00 112.52 90.00
Sites, in units of the cell vectors:
Ce1 0.000 0.000 0.000
Ce2 0.500 0.500 0.000
Ni1 0.250 0.000 0.751
Ni2 0.750 0.500 0.751
Sb1 0.139 0.500 0.638
Sb2 0.361 0.000 0.361
Sb3 0.639 0.000 0.638
Sb4 0.861 0.500 0.361

***

8.
A relaxed Ce2Ni2Sb crystal. Source: Alexandria, functional PBE.

Values from the calculation:
Calculated volume: 20.5 A^3/atom
ΔE_f (raw): -643 meV/atom
Crystal system: tetragonal
Total magnetization: 0.0 μB/f.u.
DOS(E_F): 5.09 states/eV/f.u.

abc: 7.278 7.278 3.863
angles: 90.00 90.00 90.00
Sites, in units of the cell vectors:
Ce1 0.178 0.322 0.000
Ce2 0.322 0.822 0.000
Ce3 0.678 0.178 0.000
Ce4 0.822 0.678 0.000
Ni1 0.123 0.623 0.500
Ni2 0.377 0.123 0.500
Ni3 0.623 0.877 0.500
Ni4 0.877 0.377 0.500
Sb1 0.000 0.000 0.500
Sb2 0.500 0.500 0.500

***

9.
A relaxed CeNi2Sb crystal. Source: Alexandria, functional PBE.

Values from the calculation:
Calculated volume: 19.8 A^3/atom
ΔE_f (raw): -343 meV/atom
Crystal system: orthorhombic
Total magnetization: 0.0 μB/f.u.
DOS(E_F): 3.01 states/eV/f.u.

abc: 3.439 4.089 5.623
angles: 90.00 90.00 90.00
Sites, in units of the cell vectors:
Ce1 0.000 0.000 0.000
Ni1 0.500 0.500 0.216
Ni2 0.500 0.500 0.784
Sb1 0.500 0.000 0.500

***

10.
A relaxed CeNiSb3 crystal. Source: Alexandria, functional PBE.

Values from the calculation:
Calculated volume: 23.9 A^3/atom
ΔE_f (raw): -594 meV/atom
Crystal system: orthorhombic
Total magnetization: 0.6 μB/f.u.
DOS(E_F): 5.61 states/eV/f.u.

abc: 12.496 6.258 12.228
angles: 90.00 90.00 90.00
Sites, in units of the cell vectors:
Ce1 0.196 0.216 0.250
Ce2 0.196 0.284 0.750
Ce3 0.199 0.750 0.000
Ce4 0.199 0.750 0.500
Ce5 0.801 0.250 0.000
Ce6 0.801 0.250 0.500
Ce7 0.804 0.716 0.250
Ce8 0.804 0.784 0.750
Ni1 0.400 0.047 0.637
Ni2 0.400 0.047 0.863
Ni3 0.400 0.453 0.137
Ni4 0.400 0.453 0.363
Ni5 0.600 0.547 0.637
Ni6 0.600 0.547 0.863
Ni7 0.600 0.953 0.137
Ni8 0.600 0.953 0.363
Sb1 0.004 0.020 0.624
Sb2 0.004 0.020 0.876
Sb3 0.004 0.480 0.124
Sb4 0.004 0.480 0.376
Sb5 0.271 0.250 0.000
Sb6 0.271 0.250 0.500
Sb7 0.272 0.716 0.250
Sb8 0.272 0.784 0.750
Sb9 0.442 0.096 0.250
Sb10 0.442 0.404 0.750
Sb11 0.469 0.750 0.000
Sb12 0.469 0.750 0.500
Sb13 0.531 0.250 0.000
Sb14 0.531 0.250 0.500
Sb15 0.558 0.596 0.250
Sb16 0.558 0.904 0.750
Sb17 0.728 0.216 0.250
Sb18 0.728 0.284 0.750
Sb19 0.729 0.750 0.000
Sb20 0.729 0.750 0.500
Sb21 0.996 0.520 0.624
Sb22 0.996 0.520 0.876
Sb23 0.996 0.980 0.124
Sb24 0.996 0.980 0.376

***

11.
A relaxed Ce2NiSb3 crystal. Source: Alexandria, functional PBE.

Values from the calculation:
Calculated volume: 27.7 A^3/atom
ΔE_f (raw): -613 meV/atom
Crystal system: orthorhombic
Total magnetization: 0.6 μB/f.u.
DOS(E_F): 8.24 states/eV/f.u.

abc: 4.265 4.891 15.938
angles: 90.00 90.00 90.00
Sites, in units of the cell vectors:
Ce1 0.000 0.000 0.145
Ce2 0.000 0.000 0.855
Ce3 0.500 0.500 0.355
Ce4 0.500 0.500 0.645
Ni1 0.000 0.000 0.500
Ni2 0.500 0.500 0.000
Sb1 0.000 0.000 0.340
Sb2 0.000 0.000 0.660
Sb3 0.000 0.500 0.500
Sb4 0.500 0.000 0.000
Sb5 0.500 0.500 0.160
Sb6 0.500 0.500 0.840

***

12.
A relaxed Ce2Ni9Sb crystal. Source: Alexandria, functional PBE.

Values from the calculation:
Calculated volume: 14.3 A^3/atom
ΔE_f (raw): -241 meV/atom
Crystal system: trigonal
Total magnetization: 0.0 μB/f.u.
DOS(E_F): 13.75 states/eV/f.u.

abc: 8.689 8.689 8.689
angles: 32.89 32.89 32.89
Sites, in units of the cell vectors:
Ce1 0.133 0.133 0.133
Ce2 0.867 0.867 0.867
Ni1 0.083 0.584 0.584
Ni2 0.333 0.333 0.333
Ni3 0.416 0.416 0.917
Ni4 0.416 0.917 0.416
Ni5 0.500 0.500 0.500
Ni6 0.584 0.083 0.584
Ni7 0.584 0.584 0.083
Ni8 0.667 0.667 0.667
Ni9 0.917 0.416 0.416
Sb1 0.000 0.000 0.000

***

> What is the total magnetization in the twelfth record?

0.0 μB/f.u.

***

> Look up the calculated volume of the third one.

20.0 A^3/atom